# Rb2NpNbO6 | the Alexandria database | GGA-PBE | relaxed
# Formation energy from raw total energies = -2.489 eV per atom
data_Rb2NpNbO6
_chemical_formula_sum 'Rb8 Np4 Nb4 O24'
_cell_length_a 8.4262
_cell_length_b 8.4262
_cell_length_c 8.4262
_cell_angle_alpha 90.00
_cell_angle_beta 90.00
_cell_angle_gamma 90.00
_space_group_name_H-M_alt 'F m -3 m'
_space_group_IT_number 225
_space_group_name_Hall '-F 4 2 3'
loop_
_atom_site_label
_atom_site_type_symbol
_atom_site_fract_x
_atom_site_fract_y
_atom_site_fract_z
Rb1 Rb 0.2500 0.2500 0.2500
Np1 Np 0.0000 0.0000 0.0000
Nb1 Nb 0.0000 0.0000 0.5000
O1 O 0.0000 0.0000 0.2570